No. 1
# In2SiSb

A relaxed In2SiSb crystal (PBE, Alexandria via LeMat-Bulk).

Properties
DOS(E_F) ... 1.46 states/eV per cell
Uncorrected energy ... -3.523 eV per atom
Polymorph energy (0 for the lowest one) ... 69 meV per atom
Formation energy (no corrections) ... 90 kJ/mol of formula units
Crystal system ... tetragonal
Size of the total moment ... 0.00 Bohr magnetons per cell

Cell: 3.619 3.619 7.668 Å, 90.00 90.00 90.00°
Fractional coordinates of all 4 atoms:
1 In 0.000 0.000 0.000
2 In 0.500 0.500 0.291
3 Si 0.500 0.500 0.755
4 Sb 0.000 0.000 0.587

***

No. 2
# TcPbW2

A relaxed TcPbW2 crystal (PBE, Alexandria via LeMat-Bulk).

Properties
DOS(E_F) ... 2.11 states/eV per cell
ΔE_f ... 0.621 eV/atom
Uncorrected energy ... -9.374 eV per atom
Crystal system ... orthorhombic
Size of the total moment ... 0.00 Bohr magnetons per cell

Cell: 5.464 5.464 5.464 Å, 145.07 131.93 60.79°
Fractional coordinates of all 4 atoms:
1 Tc 0.000 0.000 0.000
2 Pb 0.500 0.500 0.000
3 W 0.243 0.743 0.500
4 W 0.757 0.257 0.500

***

No. 3
# Fe2ReTe

A relaxed Fe2ReTe crystal (PBE, Alexandria via LeMat-Bulk).

Properties
DOS(E_F) ... 4.13 states/eV per cell
Uncorrected energy ... -7.625 eV per atom
Formation energy (no corrections) ... 194 kJ/mol of formula units
Crystal system ... orthorhombic
Size of the total moment ... 4.31 Bohr magnetons per cell

Cell: 3.070 4.351 4.484 Å, 90.00 90.00 90.00°
Fractional coordinates of all 4 atoms:
1 Fe 0.000 0.000 0.000
2 Fe 0.000 0.500 0.279
3 Re 0.500 0.500 0.821
4 Te 0.500 0.000 0.467

***

No. 4
# LaSiOs2

A relaxed LaSiOs2 crystal (PBE, Alexandria via LeMat-Bulk).

Properties
DOS(E_F) ... 3.84 states/eV per cell
Uncorrected energy ... -7.740 eV per atom
Formation energy (no corrections) ... 178 kJ/mol of formula units
Crystal system ... monoclinic
Size of the total moment ... 0.00 Bohr magnetons per cell

Cell: 5.427 5.427 2.951 Å, 105.43 105.43 112.74°
Fractional coordinates of all 4 atoms:
1 La 0.000 0.000 0.000
2 Si 0.500 0.500 0.000
3 Os 0.000 0.500 0.500
4 Os 0.500 0.000 0.500

***

No. 5
# NbHgI2N

A relaxed NbHgI2N crystal (PBE, Alexandria via LeMat-Bulk).

Properties
DOS(E_F) ... 2.88 states/eV per cell
Uncorrected energy ... -4.341 eV per atom
Polymorph energy (0 for the lowest one) ... 0 meV per atom
Formation energy (no corrections) ... 9 kJ/mol of formula units
Crystal system ... tetragonal
Size of the total moment ... 0.01 Bohr magnetons per cell

Cell: 5.828 5.828 3.950 Å, 90.00 90.00 90.00°
Fractional coordinates of all 5 atoms:
1 Nb 0.000 0.000 0.000
2 Hg 0.500 0.500 0.500
3 I 0.000 0.500 0.000
4 I 0.500 0.000 0.000
5 N 0.000 0.000 0.500

***

No. 6
# TaIn2Os

A relaxed TaIn2Os crystal (PBE, Alexandria via LeMat-Bulk).

Properties
DOS(E_F) ... 3.41 states/eV per cell
ΔE_f ... 0.417 eV/atom
Uncorrected energy ... -6.723 eV per atom
Polymorph energy (0 for the lowest one) ... 381 meV per atom
Crystal system ... tetragonal
Size of the total moment ... 0.00 Bohr magnetons per cell

Cell: 4.105 4.105 4.384 Å, 90.00 90.00 90.00°
Fractional coordinates of all 4 atoms:
1 Ta 0.000 0.000 0.000
2 In 0.000 0.500 0.500
3 In 0.500 0.000 0.500
4 Os 0.500 0.500 0.000

***

No. 7
# NaBeAlO3

A relaxed NaBeAlO3 crystal (PBE, Alexandria via LeMat-Bulk).

Properties
DOS(E_F) ... 0.00 states/eV per cell
Uncorrected energy ... -6.449 eV per atom
Formation energy (no corrections) ... -1450 kJ/mol of formula units
Crystal system ... monoclinic
Size of the total moment ... 0.00 Bohr magnetons per cell

Cell: 6.346 2.870 7.137 Å, 90.00 107.62 90.00°
Fractional coordinates of all 12 atoms:
1 Na 0.205 0.250 0.220
2 Na 0.795 0.750 0.780
3 Be 0.088 0.250 0.604
4 Be 0.912 0.750 0.396
5 Al 0.339 0.750 0.862
6 Al 0.661 0.250 0.138
7 O 0.131 0.250 0.836
8 O 0.176 0.750 0.545
9 O 0.461 0.750 0.140
10 O 0.539 0.250 0.860
11 O 0.824 0.250 0.455
12 O 0.869 0.750 0.164

***

No. 8
# Fe2HgMo

A relaxed Fe2HgMo crystal (PBE, Alexandria via LeMat-Bulk).

Properties
DOS(E_F) ... 4.69 states/eV per cell
ΔE_f ... 0.560 eV/atom
Uncorrected energy ... -6.455 eV per atom
Crystal system ... monoclinic
Size of the total moment ... 4.75 Bohr magnetons per cell

Cell: 5.178 5.178 2.669 Å, 100.63 100.63 114.95°
Fractional coordinates of all 4 atoms:
1 Fe 0.000 0.500 0.000
2 Fe 0.500 0.000 0.000
3 Hg 0.000 0.000 0.500
4 Mo 0.500 0.500 0.500

***

No. 9
# Li2CdBF

A relaxed Li2CdBF crystal (PBE, Alexandria via LeMat-Bulk).

Properties
DOS(E_F) ... 1.78 states/eV per cell
Uncorrected energy ... -3.077 eV per atom
Formation energy (no corrections) ... -202 kJ/mol of formula units
Crystal system ... tetragonal
Size of the total moment ... 0.00 Bohr magnetons per cell

Cell: 3.632 3.632 5.490 Å, 90.00 90.00 90.00°
Fractional coordinates of all 5 atoms:
1 Li 0.000 0.500 0.000
2 Li 0.500 0.000 0.000
3 Cd 0.000 0.000 0.500
4 B 0.500 0.500 0.500
5 F 0.500 0.500 0.000

***

No. 10
# KLaY

A relaxed KLaY crystal (PBE, Alexandria via LeMat-Bulk).

Properties
DOS(E_F) ... 4.67 states/eV per cell
ΔE_f ... 0.283 eV/atom
Uncorrected energy ... -3.880 eV per atom
Polymorph energy (0 for the lowest one) ... 49 meV per atom
Crystal system ... orthorhombic
Size of the total moment ... 0.00 Bohr magnetons per cell

Cell: 10.646 10.397 3.649 Å, 83.89 76.18 19.92°
Fractional coordinates of all 3 atoms:
1 K 0.000 0.000 0.000
2 La 0.314 0.314 0.686
3 Y 0.679 0.679 0.321

***

No. 11
# Tb6Pm5Sm

A relaxed Tb6Pm5Sm crystal (PBE, Alexandria via LeMat-Bulk).

Properties
DOS(E_F) ... 16.96 states/eV per cell
ΔE_f ... 0.015 eV/atom
Uncorrected energy ... -4.673 eV per atom
Crystal system ... orthorhombic
Size of the total moment ... 0.00 Bohr magnetons per cell

Cell: 9.531 9.531 9.531 Å, 148.98 115.52 73.28°
Fractional coordinates of all 12 atoms:
1 Tb 0.083 0.333 0.750
2 Tb 0.250 0.000 0.250
3 Tb 0.416 0.667 0.750
4 Tb 0.584 0.333 0.250
5 Tb 0.750 0.000 0.750
6 Tb 0.917 0.667 0.250
7 Pm 0.166 0.166 0.000
8 Pm 0.333 0.833 0.500
9 Pm 0.500 0.500 0.000
10 Pm 0.667 0.167 0.500
11 Pm 0.834 0.834 0.000
12 Sm 0.000 0.500 0.500

***

No. 12
# TaMn3Si

A relaxed TaMn3Si crystal (PBE, Alexandria via LeMat-Bulk).

Properties
DOS(E_F) ... 3.10 states/eV per cell
Uncorrected energy ... -8.368 eV per atom
Polymorph energy (0 for the lowest one) ... 0 meV per atom
Formation energy (no corrections) ... 284 kJ/mol of formula units
Crystal system ... cubic
Size of the total moment ... 4.00 Bohr magnetons per cell

Cell: 4.179 4.179 4.179 Å, 90.00 90.00 90.00°
Fractional coordinates of all 5 atoms:
1 Ta 0.000 0.000 0.000
2 Mn 0.000 0.500 0.500
3 Mn 0.500 0.000 0.500
4 Mn 0.500 0.500 0.000
5 Si 0.500 0.500 0.500

***

No. 13
# K3TbI6

A relaxed K3TbI6 crystal (PBE, Alexandria via LeMat-Bulk).

Properties
DOS(E_F) ... 0.00 states/eV per cell
Uncorrected energy ... -3.178 eV per atom
Formation energy (no corrections) ... -1404 kJ/mol of formula units
Crystal system ... monoclinic
Size of the total moment ... 0.00 Bohr magnetons per cell

Cell: 8.416 9.056 14.721 Å, 90.00 124.03 90.00°
Fractional coordinates of all 20 atoms:
1 K 0.000 0.000 0.000
2 K 0.000 0.500 0.500
3 K 0.208 0.090 0.745
4 K 0.208 0.410 0.245
5 K 0.792 0.590 0.755
6 K 0.792 0.910 0.255
7 Tb 0.500 0.000 0.500
8 Tb 0.500 0.500 0.000
9 I 0.144 0.176 0.438
10 I 0.144 0.324 0.938
11 I 0.262 0.715 0.425
12 I 0.262 0.785 0.925
13 I 0.408 0.051 0.270
14 I 0.408 0.449 0.770
15 I 0.592 0.551 0.230
16 I 0.592 0.949 0.730
17 I 0.738 0.215 0.075
18 I 0.738 0.285 0.575
19 I 0.856 0.676 0.062
20 I 0.856 0.824 0.562